*A*
A relaxed Li2Mn3SnO8 crystal. Source: Alexandria via LeMat-Bulk, functional PBE+U.

calculated volume = 634 Å³/cell

Cell lengths 8.4305, 8.3964, 8.9597 Å; angles 90.00, 90.00, 90.00 degrees
Each line ends with the local moment (μB).
Atoms (fractional coordinates):
Mn 0.6274 0.8813 0.8746  3.25
Mn 0.6144 0.6293 0.6331  3.90
Mn 0.6322 0.1273 0.1230  3.92
Mn 0.3678 0.6273 0.3770  3.92
Mn 0.8678 0.8727 0.6230  3.92
Mn 0.3726 0.3813 0.6254  3.25
Mn 0.8856 0.3707 0.1331  3.90
Mn 0.8726 0.1187 0.3746  3.25
Mn 0.1144 0.8707 0.3669  3.90
Mn 0.1322 0.3727 0.8770  3.92
Mn 0.1274 0.6187 0.1254  3.25
Mn 0.3856 0.1293 0.8669  3.90
O 0.1290 0.8516 0.1198  0.01
O 0.8940 0.6064 0.1175  -0.06
O 0.6326 0.8640 0.6545  -0.12
O 0.1326 0.6360 0.3455  -0.12
O 0.8842 0.8898 0.3754  -0.03
O 0.6019 0.6229 0.3803  0.00
O 0.1219 0.6087 0.9031  -0.09
O 0.6290 0.6484 0.8802  0.01
O 0.8781 0.1087 0.5969  -0.09
O 0.1019 0.8771 0.6197  0.00
O 0.1462 0.1378 0.8582  -0.06
O 0.3981 0.1229 0.1197  0.00
O 0.8538 0.6378 0.6418  -0.06
O 0.1158 0.3898 0.1246  -0.03
O 0.6219 0.8913 0.0969  -0.09
O 0.6060 0.3936 0.6175  -0.06
O 0.8674 0.1360 0.1545  -0.12
O 0.3940 0.8936 0.8825  -0.06
O 0.3538 0.8622 0.3582  -0.06
O 0.8710 0.3516 0.3802  0.01
O 0.6462 0.3622 0.1418  -0.06
O 0.6158 0.1102 0.8754  -0.03
O 0.3842 0.6102 0.6246  -0.03
O 0.3781 0.3913 0.4031  -0.09
O 0.8981 0.3771 0.8803  0.00
O 0.3710 0.1484 0.6198  0.01
O 0.8551 0.8716 0.8724  0.00
O 0.3674 0.3640 0.8455  -0.12
O 0.1449 0.3716 0.6276  0.00
O 0.6449 0.1284 0.3724  0.00
O 0.1060 0.1064 0.3825  -0.06
O 0.3551 0.6284 0.1276  0.00
Li 0.7500 0.2483 0.7443  0.01
Li 0.2500 0.2517 0.2557  0.01
Li 0.0025 0.5019 0.4991  0.00
Li 0.9975 0.0019 0.0009  0.00
Li 0.7500 0.7517 0.2443  0.01
Li 0.2500 0.7483 0.7557  0.01
Li 0.5025 0.9981 0.5009  0.00
Li 0.4975 0.4981 0.9991  0.00
Sn 0.8725 0.6228 0.8795  0.04
Sn 0.6275 0.3772 0.3795  0.04
Sn 0.3725 0.8772 0.1205  0.04
Sn 0.1275 0.1228 0.6205  0.04


*B*
A relaxed Li2Mn3SnO8 crystal. Source: Alexandria via LeMat-Bulk, functional PBE+U.

calculated volume = 304 Å³/cell

Cell lengths 6.0793, 6.0793, 9.7714 Å; angles 90.00, 90.00, 122.52 degrees
Each line ends with the local moment (μB).
Atoms (fractional coordinates):
O 0.0357 0.5200 0.6608  -0.01
O 0.9728 0.0272 0.1596  -0.07
O 0.4800 0.9643 0.6608  -0.01
O 0.1646 0.3606 0.9042  0.01
O 0.6394 0.8354 0.9042  0.01
O 0.4924 0.5076 0.6962  -0.09
O 0.1682 0.8318 0.8849  -0.10
O 0.3606 0.1646 0.4042  0.01
O 0.6455 0.3545 0.9008  -0.04
O 0.9643 0.4800 0.1608  -0.01
O 0.5076 0.4924 0.1962  -0.09
O 0.0272 0.9728 0.6596  -0.07
O 0.3545 0.6455 0.4008  -0.04
O 0.5200 0.0357 0.1608  -0.01
O 0.8318 0.1682 0.3849  -0.10
O 0.8354 0.6394 0.4042  0.01
Li 0.8464 0.1536 0.6028  0.01
Li 0.1536 0.8464 0.1028  0.01
Li 0.4886 0.5114 0.0082  0.00
Li 0.5114 0.4886 0.5082  0.00
Mn 0.3294 0.1650 0.7849  3.90
Mn 0.8350 0.6706 0.7849  3.90
Mn 0.1650 0.3294 0.2849  3.90
Mn 0.6706 0.8350 0.2849  3.90
Mn 0.3278 0.6722 0.7860  3.25
Mn 0.6722 0.3278 0.2860  3.25
Sn 0.8163 0.1837 0.0096  0.04
Sn 0.1837 0.8163 0.5096  0.04


*C*
A relaxed Li2Mn3SnO8 crystal. Source: Alexandria via LeMat-Bulk, functional PBE+U.

calculated volume = 159 Å³/cell

Cell lengths 6.1823, 6.1823, 6.1823 Å; angles 57.98, 57.98, 57.98 degrees
Each line ends with the local moment (μB).
Atoms (fractional coordinates):
O 0.7208 0.2581 0.2581  -0.04
O 0.7419 0.2792 0.7419  -0.04
O 0.7419 0.7419 0.2792  -0.04
O 0.2581 0.7208 0.2581  -0.04
O 0.7284 0.7284 0.7284  -0.17
O 0.2792 0.7419 0.7419  -0.04
O 0.2716 0.2716 0.2716  -0.17
O 0.2581 0.2581 0.7208  -0.04
Mn 0.0000 0.5000 0.5000  3.78
Mn 0.5000 0.0000 0.5000  3.78
Mn 0.5000 0.5000 0.0000  3.78
Sn 0.5000 0.5000 0.5000  0.04
Li 0.8786 0.8786 0.8786  0.01
Li 0.1214 0.1214 0.1214  0.01


*D*
A relaxed Li2Mn3SnO8 crystal. Source: Alexandria via LeMat-Bulk, functional PBE+U.

calculated volume = 155 Å³/cell

Cell lengths 5.9826, 5.9826, 5.9826 Å; angles 61.07, 61.07, 61.07 degrees
Each line ends with the local moment (μB).
Atoms (fractional coordinates):
O 0.2941 0.7488 0.7488  -0.12
O 0.2560 0.7076 0.2560  -0.04
O 0.7488 0.2941 0.7488  -0.12
O 0.7467 0.7467 0.7467  -0.06
O 0.2560 0.2560 0.7076  -0.04
O 0.7076 0.2560 0.2560  -0.04
O 0.7488 0.7488 0.2941  -0.12
O 0.2499 0.2499 0.2499  -0.02
Sn 0.1114 0.1114 0.1114  0.06
Li 0.8823 0.8823 0.8823  0.01
Li 0.5043 0.5043 0.5043  0.01
Mn 0.5045 0.5045 0.9854  3.75
Mn 0.5045 0.9854 0.5045  3.75
Mn 0.9854 0.5045 0.5045  3.75


Which structure is most stable, and how do the rest compare? From most to least stable: *B*, *A*, *C*, *D*.


*A*
A relaxed Li3Mn2SnO6 crystal. Source: Alexandria via LeMat-Bulk, functional PBE+U.

calculated volume = 251 Å³/cell

Cell lengths 6.1173, 6.9301, 6.2002 Å; angles 103.02, 90.13, 101.52 degrees
Each line ends with the local moment (μB).
Atoms (fractional coordinates):
O 0.1064 0.3594 0.5894  0.03
O 0.7637 0.0058 0.2704  0.06
O 0.8948 0.6622 0.9411  0.02
O 0.2349 0.0191 0.2714  0.00
O 0.9029 0.6608 0.3963  0.06
O 0.7718 0.0045 0.7257  0.02
O 0.5603 0.3072 0.0774  0.03
O 0.4317 0.6475 0.3954  0.00
O 0.1002 0.3344 0.0818  0.03
O 0.4365 0.6527 0.9390  -0.01
O 0.2302 0.0139 0.7278  -0.01
O 0.5666 0.3322 0.5851  0.03
Sn 0.3334 0.3333 0.3334  0.01
Sn 0.3334 0.3333 0.8334  0.01
Li 0.5144 0.0016 0.5046  0.01
Li 0.8334 0.3335 0.3330  0.00
Li 0.1607 0.6783 0.6327  0.00
Li 0.5057 0.9881 0.0335  0.00
Li 0.1524 0.6649 0.1619  0.01
Li 0.8336 0.3338 0.8331  0.00
Mn 0.9874 0.9906 0.9969  4.61
Mn 0.6791 0.6761 0.6699  4.61
Mn 0.9887 0.9984 0.4951  3.92
Mn 0.6779 0.6683 0.1717  3.92


*B*
A relaxed Li3Mn2SnO6 crystal. Source: Alexandria via LeMat-Bulk, functional PBE+U.

calculated volume = 125 Å³/cell

Cell lengths 3.0720, 6.0945, 6.9895 Å; angles 101.43, 102.69, 90.00 degrees
Each line ends with the local moment (μB).
Atoms (fractional coordinates):
Sn 0.0000 0.5000 0.0000  0.01
O 0.1573 0.5970 0.3145  -0.02
O 0.4948 0.7335 0.9897  0.03
O 0.8427 0.4030 0.6855  -0.02
O 0.5052 0.2665 0.0103  0.03
O 0.1656 0.0695 0.3312  0.00
O 0.8344 0.9305 0.6688  0.00
Mn 0.3308 0.1549 0.6615  4.33
Mn 0.6692 0.8451 0.3385  4.33
Li 0.6683 0.3237 0.3366  0.00
Li 0.0000 0.0000 0.0000  0.00
Li 0.3317 0.6763 0.6634  0.00


Which structure is most stable, and how do the rest compare? From most to least stable: *A*, *B*.